Record 1
VASP calculation (PBE-GGA) on a relaxed structure of TlPtAu.

Cell and atoms, written as POSCAR:
```
TlPtAu
1.0
4.6740 0.0000 0.0000
-2.3370 4.0478 0.0000
0.0000 0.0000 3.0599
Tl Pt Au
1 1 1
Cartesian
0.0000 0.0000 0.0000 Tl
0.0000 2.6985 2.2781 Pt
2.3370 1.3493 1.1380 Au
```

Output
ΔE_f in eV per atom: 0.138
Final energy in eV per formula unit: -11.27


Record 2
VASP calculation (PBE-GGA) on a relaxed structure of MnSi4.

Cell and atoms, written as POSCAR:
```
MnSi4
1.0
5.2906 0.0000 0.0000
0.0000 5.2906 0.0000
0.0000 0.0000 5.2906
Mn Si
2 8
Cartesian
0.0000 0.0000 0.0000 Mn
2.6453 2.6453 2.6453 Mn
1.3227 1.3227 1.3227 Si
1.3227 1.3227 3.9680 Si
1.3227 3.9680 1.3227 Si
1.3227 3.9680 3.9680 Si
3.9680 1.3227 1.3227 Si
3.9680 1.3227 3.9680 Si
3.9680 3.9680 1.3227 Si
3.9680 3.9680 3.9680 Si
```

Output
Uncorrected formation energy in eV per atom: 0.104
Final energy in eV per formula unit: -30.34


Copy entry 2 word for word.
VASP calculation (PBE-GGA) on a relaxed structure of MnSi4.

Cell and atoms, written as POSCAR:
```
MnSi4
1.0
5.2906 0.0000 0.0000
0.0000 5.2906 0.0000
0.0000 0.0000 5.2906
Mn Si
2 8
Cartesian
0.0000 0.0000 0.0000 Mn
2.6453 2.6453 2.6453 Mn
1.3227 1.3227 1.3227 Si
1.3227 1.3227 3.9680 Si
1.3227 3.9680 1.3227 Si
1.3227 3.9680 3.9680 Si
3.9680 1.3227 1.3227 Si
3.9680 1.3227 3.9680 Si
3.9680 3.9680 1.3227 Si
3.9680 3.9680 3.9680 Si
```

Output
Uncorrected formation energy in eV per atom: 0.104
Final energy in eV per formula unit: -30.34


Q: Look up the final energy of the first one.
A: -11.27 eV per formula unit


Q: final energy of number 2 (MnSi4)?
A: -30.34 eV per formula unit


Q: Number 2 is which compound?
A: MnSi4